# 1
Entry from Alexandria via LeMat-Bulk: Sc3AgN after structural relaxation (PBE).

```
Sc3AgN
1.0
3.146 -5.299 0.000
3.146 5.299 0.000
0.000 0.000 6.452
Sc Ag N
6 2 2
direct
0.000 0.000 0.000
0.000 0.000 0.500
0.009 0.489 0.250
0.489 0.009 0.750
0.511 0.991 0.250
0.991 0.511 0.750
0.482 0.518 0.750
0.518 0.482 0.250
0.124 0.876 0.750
0.876 0.124 0.250
```

## Properties
N(E_F) ... 18.85 states/eV/cell
Volume ... 215.1 Å³/cell
Uncorrected formation energy ... -38.7 kJ per mole of atoms
Relative energy among the computed polymorphs ... 0.5183 eV/atom
Space group ... Cmcm, No. 63

***

# 2
Entry from Alexandria via LeMat-Bulk: PmDyZn after structural relaxation (PBE).

```
PmDyZn
1.0
5.009 0.000 0.000
-2.505 4.338 0.000
0.000 0.000 3.738
Pm Dy Zn
1 1 1
direct
0.000 0.000 0.000
0.667 0.333 0.546
0.333 0.667 0.324
```

## Properties
N(E_F) ... 3.76 states/eV/cell
Volume ... 81.2 Å³/cell
ΔE_f ... -0.048 eV/atom
Relative energy among the computed polymorphs ... 0.1578 eV/atom
Space group ... P3m1, No. 156

***

# 3
Entry from Alexandria via LeMat-Bulk: Cs3Rb9Tl2 after structural relaxation (PBE).

```
Cs3Rb9Tl2
1.0
-2.694 9.276 11.645
2.694 -9.276 11.645
2.694 9.276 -11.645
Cs Rb Tl
3 9 2
direct
0.000 0.000 0.000
0.298 0.000 0.298
0.702 0.000 0.702
0.027 0.653 0.374
0.195 0.319 0.875
0.279 0.653 0.626
0.444 0.319 0.125
0.500 0.500 0.000
0.556 0.681 0.875
0.721 0.347 0.374
0.805 0.681 0.125
0.973 0.347 0.626
0.387 0.887 0.500
0.613 0.113 0.500
```

## Properties
N(E_F) ... 12.31 states/eV/cell
Volume ... 1164.2 Å³/cell
ΔE_f ... 0.033 eV/atom
Space group ... Immm, No. 71

***

# 4
Entry from Alexandria via LeMat-Bulk: Tb2TmSc3Te6 after structural relaxation (PBE).

```
Tb2TmSc3Te6
1.0
9.289 -2.123 0.000
9.289 2.123 0.000
-1.966 0.000 8.316
Tb Tm Sc Te
2 1 3 6
direct
0.169 0.169 0.336
0.831 0.831 0.664
0.500 0.500 0.000
0.170 0.170 0.832
0.500 0.500 0.500
0.830 0.830 0.168
0.004 0.004 0.746
0.333 0.333 0.928
0.338 0.338 0.409
0.662 0.662 0.591
0.667 0.667 0.072
0.996 0.996 0.254
```

## Properties
N(E_F) ... 7.71 states/eV/cell
Volume ... 328.0 Å³/cell
Uncorrected formation energy ... -114.0 kJ per mole of atoms
Space group ... C2/m, No. 12

***

# 5
Entry from Alexandria via LeMat-Bulk: Y2Co after structural relaxation (PBE).

```
Y2Co
1.0
6.307 0.000 0.000
0.000 6.367 0.000
0.000 0.000 3.926
Y Co
4 2
direct
0.240 0.164 0.000
0.260 0.664 0.500
0.740 0.336 0.500
0.760 0.836 0.000
0.000 0.000 0.500
0.500 0.500 0.000
```

## Properties
N(E_F) ... 4.62 states/eV/cell
Volume ... 157.7 Å³/cell
ΔE_f ... -0.088 eV/atom
Space group ... Pnnm, No. 58

***

# 6
Entry from Alexandria via LeMat-Bulk: YCrCd after structural relaxation (PBE).

```
YCrCd
1.0
0.000 3.367 3.367
3.367 0.000 3.367
3.367 3.367 0.000
Y Cr Cd
1 1 1
direct
0.000 0.000 0.000
0.750 0.750 0.750
0.500 0.500 0.500
```

## Properties
N(E_F) ... 1.47 states/eV/cell
Volume ... 76.4 Å³/cell
ΔE_f ... 0.426 eV/atom
Space group ... F-43m, No. 216

***

# 7
Entry from Alexandria via LeMat-Bulk: NpAg5Br12 after structural relaxation (PBE).

```
NpAg5Br12
1.0
3.396 -6.276 0.000
3.396 6.276 0.000
-1.837 0.000 13.419
Np Ag Br
1 5 12
direct
0.000 0.000 0.000
0.167 0.833 0.500
0.348 0.652 0.000
0.500 0.500 0.500
0.652 0.348 0.000
0.833 0.167 0.500
0.020 0.704 0.118
0.110 0.444 0.385
0.223 0.223 0.615
0.296 0.980 0.882
0.346 0.346 0.133
0.444 0.110 0.385
0.556 0.890 0.615
0.654 0.654 0.867
0.704 0.020 0.118
0.777 0.777 0.385
0.890 0.556 0.615
0.980 0.296 0.882
```

## Properties
N(E_F) ... 26.15 states/eV/cell
Volume ... 572.0 Å³/cell
Uncorrected formation energy ... -47.9 kJ per mole of atoms
Space group ... C2/m, No. 12

***

# 8
Entry from Alexandria via LeMat-Bulk: DyMg7Tl4 after structural relaxation (PBE).

```
DyMg7Tl4
1.0
6.212 -2.872 0.000
6.212 2.872 0.000
-5.948 0.000 8.876
Dy Mg Tl
1 7 4
direct
0.000 0.000 0.000
0.093 0.093 0.435
0.289 0.289 0.351
0.315 0.315 0.094
0.500 0.500 0.000
0.685 0.685 0.906
0.711 0.711 0.649
0.907 0.907 0.565
0.190 0.190 0.773
0.402 0.402 0.677
0.598 0.598 0.323
0.810 0.810 0.227
```

## Properties
N(E_F) ... 6.02 states/eV/cell
Volume ... 316.7 Å³/cell
ΔE_f ... 0.114 eV/atom
Space group ... C2/m, No. 12

***

Repeat the third record exactly.
Entry from Alexandria via LeMat-Bulk: Cs3Rb9Tl2 after structural relaxation (PBE).

```
Cs3Rb9Tl2
1.0
-2.694 9.276 11.645
2.694 -9.276 11.645
2.694 9.276 -11.645
Cs Rb Tl
3 9 2
direct
0.000 0.000 0.000
0.298 0.000 0.298
0.702 0.000 0.702
0.027 0.653 0.374
0.195 0.319 0.875
0.279 0.653 0.626
0.444 0.319 0.125
0.500 0.500 0.000
0.556 0.681 0.875
0.721 0.347 0.374
0.805 0.681 0.125
0.973 0.347 0.626
0.387 0.887 0.500
0.613 0.113 0.500
```

## Properties
N(E_F) ... 12.31 states/eV/cell
Volume ... 1164.2 Å³/cell
ΔE_f ... 0.033 eV/atom
Space group ... Immm, No. 71

***

Repeat the third record exactly.
Entry from Alexandria via LeMat-Bulk: Cs3Rb9Tl2 after structural relaxation (PBE).

```
Cs3Rb9Tl2
1.0
-2.694 9.276 11.645
2.694 -9.276 11.645
2.694 9.276 -11.645
Cs Rb Tl
3 9 2
direct
0.000 0.000 0.000
0.298 0.000 0.298
0.702 0.000 0.702
0.027 0.653 0.374
0.195 0.319 0.875
0.279 0.653 0.626
0.444 0.319 0.125
0.500 0.500 0.000
0.556 0.681 0.875
0.721 0.347 0.374
0.805 0.681 0.125
0.973 0.347 0.626
0.387 0.887 0.500
0.613 0.113 0.500
```

## Properties
N(E_F) ... 12.31 states/eV/cell
Volume ... 1164.2 Å³/cell
ΔE_f ... 0.033 eV/atom
Space group ... Immm, No. 71